[1]
# SCAN Zn5Co, single point on PBEsol structure
# energy of formation	0.015	eV per atom
# SG	No. 38
data_Zn5Co
_chemical_formula_sum 'Zn5 Co1'
_symmetry_space_group_name_H-M 'P 1'
_symmetry_Int_Tables_number 1
_symmetry_space_group_name_Hall 'P 1'
_cell_length_a 2.716
_cell_length_b 4.164
_cell_length_c 6.995
_cell_angle_alpha 90.00
_cell_angle_beta 101.20
_cell_angle_gamma 90.00
loop_
_atom_site_label
_atom_site_fract_x
_atom_site_fract_y
_atom_site_fract_z
_atom_site_occupancy
Zn1 0.222 0.500 0.445 1
Zn2 0.345 0.000 0.690 1
Zn3 0.549 0.500 0.099 1
Zn4 0.657 0.000 0.315 1
Zn5 0.892 0.500 0.785 1
Co1 0.000 0.000 0.001 1

---

[2]
# SCAN Zn3Co, single point on PBEsol structure
# energy of formation	0.029	eV per atom
# SG	No. 59
data_Zn3Co
_chemical_formula_sum 'Zn6 Co2'
_symmetry_space_group_name_H-M 'P 1'
_symmetry_Int_Tables_number 1
_symmetry_space_group_name_Hall 'P 1'
_cell_length_a 4.141
_cell_length_b 4.637
_cell_length_c 5.128
_cell_angle_alpha 90.00
_cell_angle_beta 90.00
_cell_angle_gamma 90.00
loop_
_atom_site_label
_atom_site_fract_x
_atom_site_fract_y
_atom_site_fract_z
_atom_site_occupancy
Co1 0.000 0.663 0.000 1
Co2 0.500 0.337 0.500 1
Zn1 0.500 0.355 0.000 1
Zn2 0.000 0.163 0.752 1
Zn3 0.500 0.837 0.748 1
Zn4 0.000 0.645 0.500 1
Zn5 0.000 0.163 0.248 1
Zn6 0.500 0.837 0.252 1

---

One value per record, in order, for magnetization: 1.23 0.01 μB per cell.